[1]
Entry from Alexandria via LeMat-Bulk: an optimized crystal structure of Ho4H2N (PBE).

Properties
- total energy (eV per atom) = -5.306

a = 4.7514 Å, b = 4.7514 Å, c = 11.0512 Å
α = 90.00°, β = 90.00°, γ = 90.00°
Last column: nearest neighbours and their distance in Å.
Space group I4/mmm (No. 139)
Unique sites:
Ho1 0.0000 0.0000 0.2192 [4 per cell]  1 H 2.19, 1 N 2.42
Ho2 0.0000 0.5000 0.0000 [4 per cell]  2 N 2.38, 4 H 2.55
H1 0.0000 0.0000 0.4171 [4 per cell]  1 H 1.83
N1 0.0000 0.0000 0.0000 [2 per cell]  6 Ho 2.38-2.42

[2]
Entry from Alexandria via LeMat-Bulk: an optimized crystal structure of Na5Ho3H12 (PBE).

Properties
- total energy (eV per atom) = -3.297

a = 12.7296 Å, b = 12.7296 Å, c = 12.7296 Å
α = 90.00°, β = 90.00°, γ = 90.00°
Last column: nearest neighbours and their distance in Å.
Space group Ia-3d (No. 230)
Unique sites:
Na1 0.0000 0.0000 0.0000 [16 per cell]  6 H 2.23
Na2 0.0000 0.2500 0.3750 [24 per cell]  4 H 2.09
Ho1 0.0000 0.2500 0.1250 [24 per cell]  8 H 2.27-2.30
H1 0.0113 0.0750 0.6581 [96 per cell]  2 Na 2.09-2.23, 1 H 2.25, 2 Ho 2.27-2.30

| no. | density (g/cm3) | size of the total moment (μB/cell) |
| --- | --- | --- |
| 1 | 8.995 | 0.0 |
| 2 | 4.005 | 0.0 |